Arrangement A

Compound: ErPaGe2
Source: Alexandria via LeMat-Bulk
Functional: PBE-GGA
Structure: optimized geometry

Geometry as extended XYZ:
```
4
Lattice="-1.656 -4.517 -1.376 3.134 -3.900 -0.068 -0.460 -3.639 3.403" Properties=species:S:1:pos:R:3 pbc="T T T"
Ge 0.255 -3.014 0.490
Ge 0.764 -9.042 1.470
Pa 0.000 0.000 0.000
Er 0.509 -6.028 0.980
```

Summary:
- total magnetic moment (μB per formula unit) = 0.1
- crystal system = cubic


Arrangement B

Compound: ErPaGe2
Source: Alexandria via LeMat-Bulk
Functional: PBE-GGA
Structure: optimized geometry

Geometry as extended XYZ:
```
4
Lattice="4.170 0.000 0.000 2.085 3.611 0.000 2.085 1.204 6.616" Properties=species:S:1:pos:R:3 pbc="T T T"
Ge 6.254 3.611 4.921
Ge 2.085 1.204 1.695
Pa 4.170 2.407 3.308
Er 0.000 0.000 0.000
```

Summary:
- total magnetic moment (μB per formula unit) = 0.0
- crystal system = trigonal


List of relative energies, unit kJ/mol of atoms: arrangement A 17.5; arrangement B 0.0


Arrangement A

Compound: ErPaGe
Source: Alexandria via LeMat-Bulk
Functional: PBE-GGA
Structure: optimized geometry

Geometry as extended XYZ:
```
6
Lattice="5.553 0.000 0.000 0.000 3.180 0.000 0.000 1.590 8.449" Properties=species:S:1:pos:R:3 pbc="T T T"
Er 4.165 3.180 5.545
Er 1.388 1.590 2.904
Pa 2.777 0.000 0.000
Pa 0.000 0.000 0.000
Ge 4.165 3.180 2.650
Ge 1.388 1.590 5.799
```

Summary:
- total magnetic moment (μB per formula unit) = 0.0
- crystal system = orthorhombic


Arrangement B

Compound: ErPaGe
Source: Alexandria via LeMat-Bulk
Functional: PBE-GGA
Structure: optimized geometry

Geometry as extended XYZ:
```
3
Lattice="3.466 0.000 0.000 0.000 4.945 0.000 0.000 -2.472 4.282" Properties=species:S:1:pos:R:3 pbc="T T T"
Ge 3.354 0.000 0.000
Pa 0.960 2.472 1.427
Er 2.619 0.000 2.855
```

Summary:
- total magnetic moment (μB per formula unit) = 0.5
- crystal system = trigonal


List of relative energies, unit kJ/mol of atoms: arrangement A 0.0; arrangement B 10.7


Arrangement A

Compound: Er3Ge4Pd2
Source: Alexandria via LeMat-Bulk
Functional: PBE-GGA
Structure: optimized geometry

Geometry as extended XYZ:
```
9
Lattice="-1.085 -4.109 0.945 0.927 0.771 -5.610 7.448 -1.212 3.284" Properties=species:S:1:pos:R:3 pbc="T T T"
Er 4.537 -3.281 0.975
Er 0.000 0.000 0.000
Er 2.753 -1.269 -2.355
Ge 0.118 -2.718 -1.654
Ge 7.171 -1.832 0.273
Ge 4.311 -3.913 -2.031
Ge 2.979 -0.637 0.650
Pd 1.602 -2.661 0.298
Pd 5.687 -1.889 -1.678
```

Summary:
- total magnetic moment (μB per formula unit) = 0.0
- crystal system = monoclinic


Arrangement B

Compound: Er3Ge4Pd2
Source: Alexandria via LeMat-Bulk
Functional: PBE-GGA
Structure: optimized geometry

Geometry as extended XYZ:
```
9
Lattice="4.256 0.000 0.000 -2.128 5.376 -0.137 0.000 -2.364 7.891" Properties=species:S:1:pos:R:3 pbc="T T T"
Er 2.128 -0.258 5.444
Er 0.000 0.000 0.000
Er 0.000 3.270 2.311
Ge 2.128 2.069 0.445
Ge 0.000 0.943 7.309
Ge 2.128 3.157 4.645
Ge 0.000 -0.145 3.109
Pd 2.128 1.168 2.802
Pd 0.000 1.844 4.953
```

Summary:
- total magnetic moment (μB per formula unit) = 0.0
- crystal system = monoclinic


List of relative energies, unit kJ/mol of atoms: arrangement A 2.3; arrangement B 0.0


Arrangement A

Compound: Er3Ge3Pd2
Source: Alexandria via LeMat-Bulk
Functional: PBE-GGA
Structure: optimized geometry

Geometry as extended XYZ:
```
16
Lattice="-1.217 -4.030 -0.929 5.624 0.511 0.420 -0.770 -2.983 13.949" Properties=species:S:1:pos:R:3 pbc="T T T"
Er 3.232 -4.421 4.943
Er 0.189 -2.918 12.411
Er 3.448 -3.584 1.028
Er 0.405 -2.081 8.497
Er 0.596 -3.180 3.010
Er 3.041 -3.323 10.429
Ge 0.149 -3.726 5.962
Ge 3.162 -4.038 13.376
Ge 0.475 -2.464 0.064
Ge 3.488 -2.777 7.478
Ge 3.316 -1.798 3.456
Ge 0.321 -4.704 9.984
Pd 1.676 -5.590 12.048
Pd 1.732 -1.802 5.547
Pd 1.905 -4.701 7.893
Pd 1.961 -0.913 1.391
```

Summary:
- total magnetic moment (μB per formula unit) = 0.0
- crystal system = orthorhombic


Arrangement B

Compound: Er3Ge3Pd2
Source: Alexandria via LeMat-Bulk
Functional: PBE-GGA
Structure: optimized geometry

Geometry as extended XYZ:
```
32
Lattice="-2.730 -3.198 -3.855 5.995 1.090 -5.150 6.535 -11.750 5.121" Properties=species:S:1:pos:R:3 pbc="T T T"
Er 4.951 -4.500 -0.898
Er 2.488 -9.157 0.488
Er 6.673 -12.637 -1.556
Er 5.488 -1.422 -5.801
Er 4.849 -9.358 -2.985
Er 7.312 -4.701 -4.372
Er 3.127 -1.221 -2.327
Er 4.312 -12.436 1.917
Er 1.796 -4.608 -2.761
Er 5.665 -9.023 2.382
Er 8.004 -9.250 -1.123
Er 4.135 -4.835 -6.266
Ge 2.387 -3.128 -0.119
Ge 5.118 -10.451 -0.198
Ge 7.413 -10.730 -3.765
Ge 4.682 -3.407 -3.686
Ge 3.151 -6.999 -1.468
Ge 4.484 -6.428 1.335
Ge 9.400 -11.805 -0.260
Ge 2.565 -2.483 -7.374
Ge 6.649 -6.859 -2.416
Ge 5.316 -7.430 -5.219
Ge 0.400 -2.053 -3.624
Ge 7.235 -11.375 3.491
Pd 0.697 -7.331 -1.794
Pd 5.425 -7.869 -0.475
Pd 10.982 -9.906 -0.617
Pd 2.496 -2.610 -4.881
Pd 9.103 -6.527 -2.089
Pd 4.375 -5.989 -3.409
Pd -1.182 -3.952 -3.267
Pd 7.304 -11.248 0.997
```

Summary:
- total magnetic moment (μB per formula unit) = 0.0
- crystal system = orthorhombic


List of relative energies, unit kJ/mol of atoms: arrangement A 0.0; arrangement B 5.7


Arrangement A

Compound: ErGePd3
Source: Alexandria via LeMat-Bulk
Functional: PBE-GGA
Structure: optimized geometry

Geometry as extended XYZ:
```
20
Lattice="-2.725 -1.540 2.636 6.563 -4.419 4.201 1.384 7.680 5.917" Properties=species:S:1:pos:R:3 pbc="T T T"
Er 2.074 -1.197 3.033
Er -0.490 3.149 6.097
Er 3.148 2.917 9.721
Er 5.712 -1.428 6.657
Ge 1.140 5.723 6.109
Ge 1.082 -0.232 5.747
Ge 4.082 -4.002 6.646
Ge 4.140 1.953 7.007
Pd 1.578 2.028 4.403
Pd 0.936 5.079 8.698
Pd 3.644 -0.308 8.351
Pd 4.286 -3.358 4.056
Pd 2.828 4.078 6.893
Pd -0.769 0.507 4.265
Pd 2.394 -2.358 5.861
Pd 5.991 1.213 8.489
Pd -0.087 0.078 1.544
Pd 1.613 1.552 7.338
Pd 5.309 1.642 11.210
Pd 3.609 0.168 5.416
```

Summary:
- total magnetic moment (μB per formula unit) = 0.0
- crystal system = orthorhombic


Arrangement B

Compound: ErGePd3
Source: Alexandria via LeMat-Bulk
Functional: PBE-GGA
Structure: optimized geometry

Geometry as extended XYZ:
```
10
Lattice="-2.172 4.199 2.050 -2.703 0.716 -4.329 -3.672 -7.105 4.186" Properties=species:S:1:pos:R:3 pbc="T T T"
Er -2.576 0.966 1.768
Er -5.705 -1.414 3.328
Ge 0.000 0.000 0.000
Ge -4.406 -1.966 -0.641
Pd -6.499 -2.114 0.641
Pd -3.516 -0.605 -2.485
Pd -2.183 -0.958 -0.349
Pd -5.427 -4.186 -0.371
Pd -3.475 -2.644 1.733
Pd -5.072 0.453 0.174
```

Summary:
- total magnetic moment (μB per formula unit) = 0.0
- crystal system = tetragonal


List of relative energies, unit kJ/mol of atoms: arrangement A 0.0; arrangement B 27.3


Arrangement A

Compound: Er2Ge3Pd5
Source: Alexandria via LeMat-Bulk
Functional: PBE-GGA
Structure: optimized geometry

Geometry as extended XYZ:
```
20
Lattice="5.750 0.000 0.000 2.875 7.941 -0.747 2.875 0.487 7.961" Properties=species:S:1:pos:R:3 pbc="T T T"
Er 2.875 4.706 0.715
Er 5.750 1.432 4.539
Er 8.625 3.722 6.499
Er 5.750 6.995 2.675
Ge 5.750 4.438 5.684
Ge 8.625 6.300 3.508
Ge 5.750 3.990 1.531
Ge 2.875 2.128 3.706
Ge 1.437 0.000 0.000
Ge 4.312 0.000 0.000
Pd 5.750 2.519 7.199
Pd 8.625 7.501 1.378
Pd 5.750 5.909 0.015
Pd 2.875 0.927 5.836
Pd 7.187 6.469 5.537
Pd 4.312 1.959 1.677
Pd 7.187 4.214 3.607
Pd 4.312 4.214 3.607
Pd 1.437 1.959 1.677
Pd 10.062 6.469 5.537
```

Summary:
- total magnetic moment (μB per formula unit) = 0.0
- crystal system = orthorhombic


Arrangement B

Compound: Er2Ge3Pd5
Source: Alexandria via LeMat-Bulk
Functional: PBE-GGA
Structure: optimized geometry

Geometry as extended XYZ:
```
20
Lattice="-1.900 3.413 1.772 -5.022 -3.972 2.268 7.088 -3.614 9.367" Properties=species:S:1:pos:R:3 pbc="T T T"
Er 2.265 -4.662 11.409
Er -1.701 -3.708 5.319
Er 1.709 -0.590 8.160
Er -1.752 0.763 1.843
Ge -1.669 -2.580 8.372
Ge -1.769 -0.557 4.367
Ge -4.079 -3.868 3.078
Ge 1.180 -2.111 5.331
Ge 2.457 -1.720 11.138
Ge -0.124 -5.246 9.971
Pd 3.298 -2.852 9.029
Pd 0.761 -3.484 7.526
Pd 1.043 0.606 5.142
Pd 0.477 -1.288 2.993
Pd 3.360 -1.095 5.712
Pd 4.241 -0.195 10.112
Pd -0.776 -1.165 6.604
Pd 0.131 -2.535 10.215
Pd -2.087 -2.407 2.398
Pd -3.938 -1.959 4.743
```

Summary:
- total magnetic moment (μB per formula unit) = 0.0
- crystal system = orthorhombic


List of relative energies, unit kJ/mol of atoms: arrangement A 3.1; arrangement B 0.0


Arrangement A

Compound: PmEr2Ge
Source: Alexandria via LeMat-Bulk
Functional: PBE-GGA
Structure: optimized geometry

Geometry as extended XYZ:
```
4
Lattice="-0.087 1.847 -3.160 -0.881 -1.726 -3.106 -9.900 2.190 -0.567" Properties=species:S:1:pos:R:3 pbc="T T T"
Ge 0.000 0.000 0.000
Pm -5.434 1.155 -3.416
Er -2.224 0.467 -1.786
Er -8.644 1.844 -5.046
```

Summary:
- total magnetic moment (μB per formula unit) = 0.0
- crystal system = trigonal


Arrangement B

Compound: PmEr2Ge
Source: Alexandria via LeMat-Bulk
Functional: PBE-GGA
Structure: optimized geometry

Geometry as extended XYZ:
```
4
Lattice="-3.921 -2.546 0.179 1.669 -2.307 3.726 -1.939 3.186 2.842" Properties=species:S:1:pos:R:3 pbc="T T T"
Ge -1.960 -1.273 0.090
Pm -2.096 -0.834 3.374
Er -0.970 1.593 1.421
Er 0.834 -1.154 1.863
```

Summary:
- total magnetic moment (μB per formula unit) = 0.0
- crystal system = tetragonal


List of relative energies, unit kJ/mol of atoms: arrangement A 7.7; arrangement B 0.0


Arrangement A

Compound: PmEr2Ge
Source: Alexandria via LeMat-Bulk
Functional: PBE-GGA
Structure: optimized geometry

Geometry as extended XYZ:
```
8
Lattice="4.128 0.000 0.000 -2.064 6.029 0.000 0.000 0.000 9.058" Properties=species:S:1:pos:R:3 pbc="T T T"
Pm 2.064 5.250 2.265
Pm -0.001 0.778 6.794
Er -0.001 4.300 5.040
Er 2.064 1.728 4.018
Er -0.001 4.300 8.547
Er 2.064 1.728 0.511
Ge 2.062 3.058 6.794
Ge 0.002 2.970 2.265
```

Summary:
- total magnetic moment (μB per formula unit) = 0.8
- crystal system = orthorhombic


Arrangement B

Compound: PmEr2Ge
Source: Alexandria via LeMat-Bulk
Functional: PBE-GGA
Structure: optimized geometry

Geometry as extended XYZ:
```
4
Lattice="-3.499 0.031 -0.768 0.074 -3.549 -0.480 -1.839 -1.164 8.332" Properties=species:S:1:pos:R:3 pbc="T T T"
Ge -2.632 -2.341 3.542
Pm -1.713 -1.759 -0.624
Er -1.284 -0.813 5.818
Er -0.555 -0.351 2.514
```

Summary:
- total magnetic moment (μB per formula unit) = 0.0
- crystal system = tetragonal


List of relative energies, unit kJ/mol of atoms: arrangement A 0.0; arrangement B 12.2


Arrangement A

Compound: PmErGeRh
Source: Alexandria via LeMat-Bulk
Functional: PBE-GGA
Structure: optimized geometry

Geometry as extended XYZ:
```
4
Lattice="-0.643 0.790 -4.894 -1.733 -3.670 -2.917 -4.614 0.286 -1.900" Properties=species:S:1:pos:R:3 pbc="T T T"
Ge 0.000 0.000 0.000
Pm -5.242 -1.946 -7.284
Rh -3.495 -1.297 -4.856
Er -1.747 -0.649 -2.428
```

Summary:
- total magnetic moment (μB per formula unit) = 0.0
- crystal system = cubic


Arrangement B

Compound: PmErGeRh
Source: Alexandria via LeMat-Bulk
Functional: PBE-GGA
Structure: optimized geometry

Geometry as extended XYZ:
```
4
Lattice="4.132 0.000 0.000 0.000 4.169 0.000 -2.066 0.000 5.304" Properties=species:S:1:pos:R:3 pbc="T T T"
Pm 0.000 0.000 1.538
Er 2.066 2.085 3.863
Ge 2.066 2.085 0.762
Rh 0.000 0.000 4.444
```

Summary:
- total magnetic moment (μB per formula unit) = 0.0
- crystal system = orthorhombic


List of relative energies, unit kJ/mol of atoms: arrangement A 14.4; arrangement B 0.0


Arrangement A

Compound: PmErZnGe
Source: Alexandria via LeMat-Bulk
Functional: PBE-GGA
Structure: optimized geometry

Geometry as extended XYZ:
```
4
Lattice="-0.438 -4.892 -1.243 4.071 -2.600 -1.527 1.999 -3.563 2.995" Properties=species:S:1:pos:R:3 pbc="T T T"
Ge 1.408 -2.764 0.056
Pm 2.816 -5.527 0.113
Zn 4.224 -8.291 0.169
Er 0.000 0.000 0.000
```

Summary:
- total magnetic moment (μB per formula unit) = 0.0
- crystal system = cubic


Arrangement B

Compound: PmErZnGe
Source: Alexandria via LeMat-Bulk
Functional: PBE-GGA
Structure: optimized geometry

Geometry as extended XYZ:
```
4
Lattice="4.218 0.000 0.000 0.000 4.119 0.000 -2.109 0.000 5.537" Properties=species:S:1:pos:R:3 pbc="T T T"
Pm 0.000 0.000 1.599
Er 2.109 2.060 4.007
Zn 2.109 2.060 0.788
Ge 0.000 0.000 4.681
```

Summary:
- total magnetic moment (μB per formula unit) = 0.1
- crystal system = orthorhombic


List of relative energies, unit kJ/mol of atoms: arrangement A 7.8; arrangement B 0.0


Arrangement A

Compound: PrErGe
Source: Alexandria via LeMat-Bulk
Functional: PBE-GGA
Structure: optimized geometry

Geometry as extended XYZ:
```
6
Lattice="-3.412 -1.735 1.983 0.335 -1.349 4.081 -3.152 10.440 3.709" Properties=species:S:1:pos:R:3 pbc="T T T"
Pr -0.399 -0.832 2.664
Pr -2.105 4.818 4.671
Er -5.214 6.506 5.484
Er -2.278 0.965 5.689
Ge -3.212 -0.126 3.128
Ge -4.065 2.699 4.131
```

Summary:
- total magnetic moment (μB per formula unit) = 0.8
- crystal system = hexagonal


Arrangement B

Compound: PrErGe
Source: Alexandria via LeMat-Bulk
Functional: PBE-GGA
Structure: optimized geometry

Geometry as extended XYZ:
```
3
Lattice="4.294 0.000 0.000 0.000 4.775 0.000 0.000 -2.387 4.135" Properties=species:S:1:pos:R:3 pbc="T T T"
Pr 2.760 2.387 1.378
Ge 1.006 0.000 2.757
Er 0.529 0.000 0.000
```

Summary:
- total magnetic moment (μB per formula unit) = 0.0
- crystal system = trigonal


List of relative energies, unit kJ/mol of atoms: arrangement A 5.3; arrangement B 0.0


Arrangement A

Compound: TbErGePt
Source: Alexandria via LeMat-Bulk
Functional: PBE-GGA
Structure: optimized geometry

Geometry as extended XYZ:
```
4
Lattice="3.915 0.000 0.000 0.000 4.265 0.000 -1.957 0.000 5.418" Properties=species:S:1:pos:R:3 pbc="T T T"
Tb 1.957 2.133 3.910
Er 0.000 0.000 1.519
Ge 1.957 2.133 0.899
Pt 0.000 0.000 4.509
```

Summary:
- total magnetic moment (μB per formula unit) = 0.0
- crystal system = orthorhombic


Arrangement B

Compound: TbErGePt
Source: Alexandria via LeMat-Bulk
Functional: PBE-GGA
Structure: optimized geometry

Geometry as extended XYZ:
```
4
Lattice="4.998 0.000 0.000 2.499 4.328 0.000 2.499 1.443 4.081" Properties=species:S:1:pos:R:3 pbc="T T T"
Ge 7.497 4.328 3.061
Tb 4.998 2.885 2.040
Pt 2.499 1.443 1.020
Er 0.000 0.000 0.000
```

Summary:
- total magnetic moment (μB per formula unit) = 0.0
- crystal system = cubic


List of relative energies, unit kJ/mol of atoms: arrangement A 0.0; arrangement B 12.9